# 1
Compound: Hf3Mn2Pd
Source: the Alexandria database
Functional: PBE
Structure: relaxed

Summary:
Spin magnetization, μB/atom: 0.0000
DFT formation energy, eV per atom: -0.371
Symmetry: No. 123

POSCAR file:
```
Hf3Mn2Pd
1.0
3.2017 0.0000 0.0000
0.0000 3.2017 0.0000
0.0000 0.0000 9.6904
Hf Mn Pd
3 2 1
Direct
0.0000 0.0000 0.0000
0.0000 0.0000 0.3166
0.0000 0.0000 0.6834
0.5000 0.5000 0.1683
0.5000 0.5000 0.8317
0.5000 0.5000 0.5000
```

=====

# 2
Compound: Hf4MnPd
Source: the Alexandria database
Functional: PBE
Structure: relaxed

Summary:
Spin magnetization, μB/atom: 0.0000
Energy above the most stable polymorph in this dataset, eV/atom: 0.2303
DFT formation energy, eV per atom: -0.022
Symmetry: No. 12

POSCAR file:
```
Hf4MnPd
1.0
3.1496 -3.1497 0.0000
3.1496 3.1497 0.0000
-0.0073 0.0000 6.3947
Hf Mn Pd
4 1 1
Direct
0.9996 0.4999 0.2328
0.0004 0.5001 0.7672
0.4999 0.9996 0.2328
0.5001 0.0004 0.7672
0.0000 0.0000 0.0000
0.5000 0.5000 0.5000
```

=====

# 3
Compound: HfMn2Pd9
Source: the Alexandria database
Functional: PBE
Structure: relaxed

Summary:
Spin magnetization, μB/atom: 0.6688
DFT formation energy, eV per atom: -0.446
Symmetry: No. 123

POSCAR file:
```
HfMn2Pd9
1.0
3.9602 0.0000 0.0000
0.0000 3.9602 0.0000
0.0000 0.0000 11.8103
Hf Mn Pd
1 2 9
Direct
0.0000 0.0000 0.0000
0.0000 0.0000 0.3386
0.0000 0.0000 0.6614
0.0000 0.5000 0.1695
0.0000 0.5000 0.5000
0.0000 0.5000 0.8305
0.5000 0.0000 0.1695
0.5000 0.0000 0.5000
0.5000 0.0000 0.8305
0.5000 0.5000 0.0000
0.5000 0.5000 0.3346
0.5000 0.5000 0.6654
```

=====

# 4
Compound: HfMn3Pd6
Source: the Alexandria database
Functional: PBE
Structure: relaxed

Summary:
Spin magnetization, μB/atom: 1.3226
DFT formation energy, eV per atom: -0.394
Symmetry: No. 11

POSCAR file:
```
HfMn3Pd6
1.0
8.4254 0.0000 0.0000
0.0000 4.1157 0.0000
-0.8876 0.0000 9.0705
Hf Mn Pd
2 6 12
Direct
0.0644 0.2500 0.3769
0.9356 0.7500 0.6231
0.2504 0.2500 0.0209
0.3463 0.7500 0.8118
0.4469 0.2500 0.6033
0.5531 0.7500 0.3967
0.6537 0.2500 0.1882
0.7496 0.7500 0.9791
0.0604 0.7500 0.9074
0.1545 0.2500 0.7049
0.1580 0.7500 0.2085
0.2537 0.7500 0.5138
0.3748 0.2500 0.3113
0.4623 0.7500 0.1016
0.5377 0.2500 0.8984
0.6252 0.7500 0.6887
0.7463 0.2500 0.4862
0.8420 0.2500 0.7915
0.8455 0.7500 0.2951
0.9396 0.2500 0.0926
```

=====

# 5
Compound: HfMn2Pd
Source: the Alexandria database
Functional: PBE
Structure: relaxed

Summary:
Spin magnetization, μB/atom: 1.3667
DFT formation energy, eV per atom: -0.051
Symmetry: No. 225

POSCAR file:
```
HfMn2Pd
1.0
0.0000 3.1275 3.1275
3.1275 0.0000 3.1275
3.1275 3.1275 0.0000
Hf Mn Pd
1 2 1
Direct
0.0000 0.0000 0.0000
0.2500 0.2500 0.2500
0.7500 0.7500 0.7500
0.5000 0.5000 0.5000
```

=====

# 6
Compound: Hf6MnPd3
Source: the Alexandria database
Functional: PBE
Structure: relaxed

Summary:
Spin magnetization, μB/atom: 0.0000
DFT formation energy, eV per atom: -0.237
Symmetry: No. 14

POSCAR file:
```
Hf6MnPd3
1.0
5.4265 0.0000 0.0000
0.0000 7.9879 0.0000
-5.2714 0.0000 9.0611
Hf Mn Pd
12 2 6
Direct
0.0531 0.1667 0.4516
0.0531 0.3333 0.9516
0.3599 0.6880 0.4450
0.3599 0.8120 0.9450
0.4162 0.0482 0.2636
0.4162 0.4518 0.7636
0.5838 0.5482 0.2364
0.5838 0.9518 0.7364
0.6401 0.1880 0.0550
0.6401 0.3120 0.5550
0.9469 0.6667 0.0484
0.9469 0.8333 0.5484
0.5000 0.0000 0.5000
0.5000 0.5000 0.0000
0.0000 0.0000 0.0000
0.0000 0.5000 0.5000
0.1036 0.0989 0.7566
0.1036 0.4011 0.2566
0.8964 0.5989 0.7434
0.8964 0.9011 0.2434
```

=====

# 7
Compound: HfMnPdRu
Source: the Alexandria database
Functional: PBE
Structure: relaxed

Summary:
Spin magnetization, μB/atom: 1.1724
DFT formation energy, eV per atom: -0.409
Symmetry: No. 216

POSCAR file:
```
HfMnPdRu
1.0
0.0000 3.1813 3.1813
3.1813 0.0000 3.1813
3.1813 3.1813 0.0000
Hf Mn Pd Ru
1 1 1 1
Direct
0.0000 0.0000 0.0000
0.5000 0.5000 0.5000
0.2500 0.2500 0.2500
0.7500 0.7500 0.7500
```

=====

# 8
Compound: Hf2MnSiPd
Source: the Alexandria database
Functional: PBE
Structure: relaxed

Summary:
Spin magnetization, μB/atom: 0.7088
Formation energy without anion corrections, eV/atom: 0.634
Symmetry: No. 123

POSCAR file:
```
Hf2MnSiPd
1.0
5.0289 0.0000 0.0000
0.0000 5.0289 0.0000
0.0000 0.0000 4.4607
Hf Mn Si Pd
2 1 1 1
Direct
0.0000 0.5000 0.0000
0.5000 0.0000 0.0000
0.0000 0.0000 0.5000
0.5000 0.5000 0.5000
0.5000 0.5000 0.0000
```

=====

# 9
Compound: HfMnTlPd2
Source: the Alexandria database
Functional: PBE
Structure: relaxed

Summary:
Spin magnetization, μB/atom: 0.0587
DFT formation energy, eV per atom: 1.379
Symmetry: No. 123

POSCAR file:
```
HfMnTlPd2
1.0
4.8412 0.0000 0.0000
0.0000 4.8412 0.0000
0.0000 0.0000 5.5000
Hf Mn Tl Pd
1 1 1 2
Direct
0.0000 0.0000 0.0000
0.5000 0.5000 0.5000
0.0000 0.0000 0.5000
0.0000 0.5000 0.0000
0.5000 0.0000 0.0000
```

=====

# 10
Compound: Hf2MnPt
Source: the Alexandria database
Functional: PBE
Structure: relaxed

Summary:
Spin magnetization, μB/atom: 0.7672
DFT formation energy, eV per atom: 0.143
Symmetry: No. 122

POSCAR file:
```
Hf2MnPt
1.0
-2.0647 2.0647 9.2450
2.0647 -2.0647 9.2450
2.0647 2.0647 -9.2450
Hf Mn Pt
4 2 2
Direct
0.1240 0.6250 0.9990
0.3750 0.3740 0.4990
0.6260 0.1250 0.0010
0.8750 0.8760 0.5010
0.0000 0.0000 0.0000
0.7500 0.2500 0.5000
0.2500 0.7500 0.5000
0.5000 0.5000 0.0000
```

=====

# 11
Compound: HfMn2Pt5
Source: the Alexandria database
Functional: PBE
Structure: relaxed

Summary:
Spin magnetization, μB/atom: 1.0504
DFT formation energy, eV per atom: -0.709
Symmetry: No. 139

POSCAR file:
```
HfMn2Pt5
1.0
-2.0230 2.0230 7.6743
2.0230 -2.0230 7.6743
2.0230 2.0230 -7.6743
Hf Mn Pt
1 2 5
Direct
0.0000 0.0000 0.0000
0.2508 0.2508 0.0000
0.7492 0.7492 0.0000
0.1311 0.6311 0.5000
0.3689 0.8689 0.5000
0.5000 0.5000 0.0000
0.6311 0.1311 0.5000
0.8689 0.3689 0.5000
```

=====

# 12
Compound: HfMn3Pt6
Source: the Alexandria database
Functional: PBE
Structure: relaxed

Summary:
Spin magnetization, μB/atom: 1.3111
DFT formation energy, eV per atom: -0.590
Symmetry: No. 11

POSCAR file:
```
HfMn3Pt6
1.0
8.5348 0.0000 0.0000
0.0000 4.0853 0.0000
-0.6523 0.0000 9.0404
Hf Mn Pt
2 6 12
Direct
0.0637 0.2500 0.3795
0.9363 0.7500 0.6205
0.2511 0.2500 0.0177
0.3464 0.7500 0.8108
0.4462 0.2500 0.6036
0.5538 0.7500 0.3964
0.6536 0.2500 0.1892
0.7489 0.7500 0.9823
0.0611 0.7500 0.9064
0.1531 0.2500 0.7034
0.1576 0.7500 0.2064
0.2540 0.7500 0.5113
0.3740 0.2500 0.3109
0.4615 0.7500 0.1017
0.5385 0.2500 0.8983
0.6260 0.7500 0.6891
0.7460 0.2500 0.4887
0.8424 0.2500 0.7936
0.8469 0.7500 0.2966
0.9389 0.2500 0.0936
```